# Pr4Sb2H

A relaxed Pr4Sb2H crystal (PBE, the Alexandria database).

The structure in POSCAR format:
```
Pr4Sb2H
1.0
-2.3273 2.3273 8.9165
2.3273 -2.3273 8.9165
2.3273 2.3273 -8.9165
Pr Sb H
4 2 1
direct
0.0000 0.5000 0.5000 Pr
0.1788 0.1788 0.0000 Pr
0.5000 0.0000 0.5000 Pr
0.8212 0.8212 0.0000 Pr
0.3621 0.3621 0.0000 Sb
0.6379 0.6379 0.0000 Sb
0.0000 0.0000 0.0000 H
```

Values from the calculation:
total magnetic moment = 0.0 μB/f.u.
symmetry = I4/mmm
V = 193 Å³/cell
offset from the most stable computed form = 0.000 eV per atom